Material: Co6Ni5
Method: DFT, PBE-GGA
State: optimized geometry

abc: 3.4763 10.3463 7.0621
angles: 90.00 90.16 90.00
Space group C2/m (No. 12)
Symmetry-distinct sites (fractional):
1 Co 0.9998 0.0000 0.2422 [4 per cell]
2 Co 0.9999 0.3367 0.2445 [8 per cell]
3 Ni 0.0000 0.1666 0.0000 [4 per cell]
4 Ni 0.0000 0.1683 0.5000 [4 per cell]
5 Ni 0.0000 0.5000 0.5000 [2 per cell]

Properties
Volume = 254.00 Å³ per cell
Formation energy from the elements = 0.17 eV/atom
Electronic total energy = -69.651 eV/f.u.

Material: Co3Ni
Method: DFT, PBE-GGA
State: optimized geometry

abc: 4.3101 8.0940 4.9896
angles: 90.00 90.00 90.00
Space group Pnma (No. 62)
Symmetry-distinct sites (fractional):
1 Co 0.0849 0.2500 0.1243 [4 per cell]
2 Co 0.2504 0.0010 0.3738 [8 per cell]
3 Ni 0.0827 0.2500 0.6246 [4 per cell]

Properties
Volume = 174.07 Å³ per cell
Formation energy from the elements = 0.00 eV/atom
Electronic total energy = -27.096 eV/f.u.

Material: CoNi3
Method: DFT, PBE-GGA
State: optimized geometry

abc: 4.3101 4.3101 4.3101
angles: 90.00 90.00 90.00
Space group Pm-3m (No. 221)
Symmetry-distinct sites (fractional):
1 Co 0.0000 0.0000 0.0000 [1 per cell]
2 Ni 0.0000 0.0000 0.5000 [3 per cell]

Properties
Volume = 80.07 Å³ per cell
Formation energy from the elements = 1.51 eV/atom
Electronic total energy = -18.417 eV/f.u.

Material: Co4Ni
Method: DFT, PBE-GGA
State: optimized geometry

abc: 8.1874 8.2005 4.3146
angles: 90.00 90.00 90.00
Space group Pbam (No. 55)
Symmetry-distinct sites (fractional):
1 Co 0.0000 0.0000 0.2292 [4 per cell]
2 Co 0.1005 0.3994 0.5000 [4 per cell]
3 Co 0.1062 0.7915 0.5000 [4 per cell]
4 Co 0.2087 0.1062 0.5000 [4 per cell]
5 Ni 0.1061 0.6060 0.0000 [4 per cell]

Properties
Volume = 289.69 Å³ per cell
Formation energy from the elements = 0.86 eV/atom
Electronic total energy = -29.925 eV/f.u.

Material: Co3Ni
Method: DFT, PBE-GGA
State: optimized geometry

abc: 2.4810 2.4810 24.4966
angles: 90.00 90.00 120.00
Space group R-3m (No. 166, hexagonal axes)
Symmetry-distinct sites (fractional):
1 Co 0.0000 0.0000 0.0000 [3 per cell]
2 Co 0.0000 0.0000 0.2503 [6 per cell]
3 Ni 0.0000 0.0000 0.5000 [3 per cell]

Properties
Volume = 130.58 Å³ per cell
Formation energy from the elements = -0.01 eV/atom
Electronic total energy = -27.140 eV/f.u.

Material: CoNi3
Method: DFT, PBE-GGA
State: optimized geometry

abc: 2.4782 8.1405 4.3193
angles: 90.00 90.00 90.00
Space group Imm2 (No. 44)
Symmetry-distinct sites (fractional):
1 Co 0.0000 0.0000 0.0000 [2 per cell]
2 Ni 0.0000 0.2509 0.3333 [4 per cell]
3 Ni 0.0000 0.5000 0.9997 [2 per cell]

Properties
Volume = 87.13 Å³ per cell
Formation energy from the elements = 0.02 eV/atom
Electronic total energy = -24.380 eV/f.u.

Material: CoNi3
Method: DFT, PBE-GGA
State: optimized geometry

abc: 2.4726 3.5460 4.9604
angles: 90.00 90.00 90.00
Space group Pmmm (No. 47)
Symmetry-distinct sites (fractional):
1 Co 0.0000 0.0000 0.0000 [1 per cell]
2 Ni 0.0000 0.0000 0.5000 [1 per cell]
3 Ni 0.5000 0.5000 0.2482 [2 per cell]

Properties
Volume = 43.49 Å³ per cell
Formation energy from the elements = -0.01 eV/atom
Electronic total energy = -24.480 eV/f.u.

Material: CoNi2
Method: DFT, PBE-GGA
State: optimized geometry

abc: 3.9890 3.9890 4.8507
angles: 90.00 90.00 120.00
Space group P6_3/mmc (No. 194)
Symmetry-distinct sites (fractional):
1 Co 0.3333 0.6667 0.2500 [2 per cell]
2 Ni 0.0000 0.0000 0.0000 [2 per cell]
3 Ni 0.3333 0.6667 0.7500 [2 per cell]

Properties
Volume = 66.84 Å³ per cell
Formation energy from the elements = 0.12 eV/atom
Electronic total energy = -18.297 eV/f.u.

Material: Co4Ni5
Method: DFT, PBE-GGA
State: optimized geometry

abc: 8.8266 8.8266 2.5397
angles: 90.00 90.00 90.00
Space group I4/m (No. 87)
Symmetry-distinct sites (fractional):
1 Co 0.0383 0.6611 0.0000 [8 per cell]
2 Ni 0.0000 0.0000 0.0000 [2 per cell]
3 Ni 0.1488 0.1832 0.5000 [8 per cell]

Properties
ΔE to the lowest computed polymorph = 64 meV per atom
Volume = 197.86 Å³ per cell
Formation energy from the elements = 0.06 eV/atom
Electronic total energy = -56.825 eV/f.u.

Material: Co2Ni
Method: DFT, PBE-GGA
State: optimized geometry

abc: 6.8157 6.8157 2.4459
angles: 90.00 90.00 120.00
Space group P-62m (No. 189)
Symmetry-distinct sites (fractional):
1 Co 0.0000 0.3061 0.0000 [3 per cell]
2 Co 0.0000 0.6402 0.5000 [3 per cell]
3 Ni 0.0000 0.0000 0.5000 [1 per cell]
4 Ni 0.3333 0.6667 0.0000 [2 per cell]

Properties
Volume = 98.40 Å³ per cell
Formation energy from the elements = 0.04 eV/atom
Electronic total energy = -19.865 eV/f.u.

Material: Co3Ni
Method: DFT, PBE-GGA
State: optimized geometry

abc: 2.4743 2.4743 7.0983
angles: 90.00 90.00 90.00
Space group P4/mmm (No. 123)
Symmetry-distinct sites (fractional):
1 Co 0.0000 0.0000 0.0000 [1 per cell]
2 Co 0.5000 0.5000 0.2479 [2 per cell]
3 Ni 0.0000 0.0000 0.5000 [1 per cell]

Properties
Volume = 43.46 Å³ per cell
Formation energy from the elements = 0.01 eV/atom
Electronic total energy = -27.073 eV/f.u.

Material: Co3Ni
Method: DFT, PBE-GGA
State: optimized geometry

abc: 4.4664 4.4664 4.4664
angles: 90.00 90.00 90.00
Space group Pm-3n (No. 223)
Symmetry-distinct sites (fractional):
1 Co 0.0000 0.2500 0.5000 [6 per cell]
2 Ni 0.0000 0.0000 0.0000 [2 per cell]

Properties
Volume = 89.10 Å³ per cell
Formation energy from the elements = 0.10 eV/atom
Electronic total energy = -26.683 eV/f.u.